The following is a PBE-GGA calculation of Rb2Pb2S2O after structural relaxation, from the Alexandria database. Values from VASP.

Raw formation energy   -0.842 eV/atom
Calculated total energy   -28.46 eV/f.u.
Size of the total moment   0.00 μB/f.u.

Cell and atoms, written as Quantum ESPRESSO input:
```
&SYSTEM
  ibrav = 0, nat = 7, ntyp = 4
/
ATOMIC_SPECIES
Rb 85.47 Rb.upf
Pb 207.20 Pb.upf
S 32.06 S.upf
O 16.00 O.upf
ATOMIC_POSITIONS angstrom
Rb -0.645 0.000 2.040
Rb 11.109 0.000 4.515
Pb 1.034 0.000 5.813
Pb 9.431 0.000 0.742
S 3.881 0.000 1.695
S 6.583 0.000 4.861
O 7.235 0.000 0.000
CELL_PARAMETERS angstrom
7.235 -2.297 0.000
7.235 2.297 0.000
-4.006 0.000 6.556
```